No. 1
# RbZr3Mn

RbZr3Mn at its PBEsol-relaxed geometry (SCAN, Alexandria).

Output
ΔH_f (0 K) (eV per formula unit): 10.18
SG: Pm-3m, No. 221

The structure in POSCAR format:
```
RbZr3Mn
1.0
4.927 0.000 0.000
0.000 4.927 0.000
0.000 0.000 4.927
Rb Zr Mn
1 3 1
Direct
0.000 0.000 0.000
0.000 0.000 0.500
0.000 0.500 0.000
0.500 0.000 0.000
0.500 0.500 0.500
```



No. 2
# SrBeW2

SrBeW2 at its PBEsol-relaxed geometry (SCAN, Alexandria).

Output
ΔH_f (0 K) (eV per formula unit): 5.19
SG: Pmmm, No. 47

The structure in POSCAR format:
```
SrBeW2
1.0
2.944 0.000 0.000
0.000 4.705 0.000
0.000 0.000 5.096
Sr Be W
1 1 2
Direct
0.000 0.000 0.000
0.500 0.500 0.000
0.000 0.500 0.500
0.500 0.000 0.500
```



No. 3
# LaCrAg2S

LaCrAg2S at its PBEsol-relaxed geometry (SCAN, Alexandria).

Output
Raw formation energy (meV/atom): 1629
SG: P4/mmm, No. 123

The structure in POSCAR format:
```
LaCrAg2S
1.0
5.373 0.000 0.000
0.000 5.373 0.000
0.000 0.000 4.665
La Cr Ag S
1 1 2 1
Direct
0.000 0.000 0.000
0.000 0.000 0.500
0.000 0.500 0.000
0.500 0.000 0.000
0.500 0.500 0.500
```



Question: Number 3 is which compound?
Answer: LaCrAg2S